Record 1
{"formula": "SrTaCdAg2", "functional": "PBEsol", "state": "relaxed", "final_energy_ev_per_atom": -3.048, "sg": "P4/mmm, No. 123", "volume_a3_per_atom": 28.015, "density_g_cm3": 7.07, "magmom_total_mub_per_cell": 3.301, "lattice_angstrom": [[-3.725, -3.279, -0.805], [3.253, -3.806, 0.452], [-0.997, -0.205, 5.448]], "species": ["Sr", "Cd", "Ag", "Ag", "Ta"], "frac_coords": [[0.000, 0.000, 0.500], [0.000, 0.000, 0.000], [0.000, 0.500, 0.000], [0.500, 0.000, 0.000], [0.500, 0.500, 0.500]]}



Record 2
{"formula": "Li2ScCd", "functional": "PBEsol", "state": "relaxed", "final_energy_ev_per_atom": -3.010, "sg": "C2/m, No. 12", "volume_a3_per_atom": 19.671, "density_g_cm3": 3.61, "magmom_total_mub_per_cell": 0.000, "relative_energy_mev_per_atom": 9, "lattice_angstrom": [[3.127, 0.000, 0.000], [0.000, 5.120, -0.078], [-1.564, -0.957, 4.929]], "species": ["Sc", "Cd", "Li", "Li"], "frac_coords": [[0.500, 0.000, 0.000], [0.000, 0.500, 0.000], [0.261, 0.272, 0.523], [0.739, 0.728, 0.477]]}



Record 3
{"formula": "Na3Sm", "functional": "PBEsol", "state": "relaxed", "final_energy_ev_per_atom": -1.949, "sg": "I4/mmm, No. 139", "volume_a3_per_atom": 33.549, "density_g_cm3": 2.71, "magmom_total_mub_per_cell": 0.001, "lattice_angstrom": [[-1.411, 2.184, 4.171], [0.045, -4.348, 2.292], [6.003, 1.869, -1.844]], "species": ["Na", "Na", "Na", "Sm"], "frac_coords": [[0.250, 0.750, 0.500], [0.750, 0.250, 0.500], [0.500, 0.500, 0.000], [0.000, 0.000, 0.000]]}



Record 4
{"formula": "Ba4Sb2O", "functional": "PBEsol", "state": "relaxed", "final_energy_ev_per_atom": -4.787, "sg": "I4/mmm, No. 139", "volume_a3_per_atom": 35.631, "e_form_raw_mev_per_atom": -1507.4, "density_g_cm3": 5.38, "magmom_total_mub_per_cell": 0.000, "lattice_angstrom": [[5.250, 0.000, 0.000], [0.000, 5.250, 0.000], [-2.625, -2.625, 9.049]], "species": ["Sb", "Sb", "Ba", "Ba", "Ba", "Ba", "O"], "frac_coords": [[0.137, 0.137, 0.275], [0.863, 0.863, 0.725], [0.330, 0.330, 0.659], [0.670, 0.670, 0.341], [0.500, 0.000, 0.000], [0.000, 0.500, 0.000], [0.500, 0.500, 0.000]]}



Record 5
{"formula": "CrMoRh2", "functional": "PBEsol", "state": "relaxed", "final_energy_ev_per_atom": -9.551, "sg": "R-3m, No. 166", "volume_a3_per_atom": 13.391, "density_g_cm3": 10.97, "magmom_total_mub_per_cell": 0.000, "relative_energy_mev_per_atom": 140, "lattice_angstrom": [[-0.879, -2.474, -0.471], [1.639, -1.820, -1.056], [2.732, -3.831, 7.472]], "species": ["Cr", "Mo", "Rh", "Rh"], "frac_coords": [[0.500, 0.500, 0.500], [0.000, 0.000, 0.000], [0.246, 0.246, 0.262], [0.754, 0.754, 0.738]]}



Record 6
{"formula": "HgCOF2", "functional": "PBEsol", "state": "relaxed", "final_energy_ev_per_atom": -3.787, "sg": "P4/mmm, No. 123", "volume_a3_per_atom": 11.275, "e_form_raw_mev_per_atom": 75.9, "density_g_cm3": 7.85, "magmom_total_mub_per_cell": 0.000, "lattice_angstrom": [[-0.661, 2.545, -0.707], [-4.403, -1.150, -0.025], [-0.322, 1.136, 4.394]], "species": ["C", "Hg", "O", "F", "F"], "frac_coords": [[0.000, 0.000, 0.000], [0.500, 0.500, 0.500], [0.500, 0.000, 0.000], [0.000, 0.000, 0.500], [0.000, 0.500, 0.000]]}



Record 7
{"formula": "BeAg2Hg", "functional": "PBEsol", "state": "relaxed", "final_energy_ev_per_atom": -2.649, "sg": "Cm, No. 8", "volume_a3_per_atom": 15.635, "density_g_cm3": 11.29, "magmom_total_mub_per_cell": 0.000, "lattice_angstrom": [[3.047, 0.000, 0.000], [0.000, 4.553, 0.015], [-1.523, -2.249, 4.501]], "species": ["Be", "Hg", "Ag", "Ag"], "frac_coords": [[0.497, 0.492, 0.994], [0.213, 0.715, 0.426], [0.000, 0.001, 0.000], [0.790, 0.292, 0.580]]}



Record 8
{"formula": "AlAsP2", "functional": "PBEsol", "state": "relaxed", "final_energy_ev_per_atom": -4.885, "sg": "Fm-3m, No. 225", "volume_a3_per_atom": 15.557, "density_g_cm3": 4.37, "magmom_total_mub_per_cell": 0.000, "relative_energy_mev_per_atom": 258, "lattice_angstrom": [[4.448, 0.000, 0.000], [2.224, 3.852, 0.000], [2.224, 1.284, 3.632]], "species": ["P", "P", "As", "Al"], "frac_coords": [[0.250, 0.250, 0.250], [0.750, 0.750, 0.750], [0.000, 0.000, 0.000], [0.500, 0.500, 0.500]]}